No. 1
Entry from Alexandria via LeMat-Bulk: a geometry-optimized Er8ScBi6 structure (PBE).

The structure in POSCAR format:
```
Er8ScBi6
1.0
-1.691 7.339 -0.113
-7.199 2.210 0.186
-2.642 3.408 9.791
Er Sc Bi
8 1 6
Direct
0.535 0.219 0.364
0.781 0.118 0.636
0.118 0.465 0.636
0.667 0.667 0.999
0.333 0.333 0.001
0.882 0.535 0.364
0.219 0.882 0.364
0.465 0.781 0.636
0.000 0.000 0.000
0.384 0.063 0.818
0.937 0.265 0.182
0.265 0.616 0.182
0.735 0.384 0.818
0.063 0.735 0.818
0.616 0.937 0.182
```

## Properties
Calculated total energy = -4.86 eV per atom
Crystal system = trigonal
Density of states at the Fermi level = 9.785 states/eV/cell
Energy relative to the elements = -0.45 eV/atom

---

No. 2
Entry from Alexandria via LeMat-Bulk: a geometry-optimized AcPm12Y7 structure (PBE).

The structure in POSCAR format:
```
AcPm12Y7
1.0
-3.441 9.156 -2.358
-5.145 -3.594 7.864
9.761 0.593 2.366
Ac Pm Y
1 12 7
Direct
0.000 0.000 0.000
0.465 0.732 0.733
0.998 0.732 0.267
0.535 0.268 0.267
0.002 0.268 0.733
0.733 0.002 0.268
0.733 0.465 0.732
0.267 0.998 0.732
0.267 0.535 0.268
0.732 0.733 0.465
0.268 0.267 0.535
0.732 0.267 0.998
0.268 0.733 0.002
0.500 0.500 0.000
0.000 0.500 0.500
0.500 0.000 0.500
0.500 0.500 0.500
0.000 0.000 0.500
0.500 0.000 0.000
0.000 0.500 0.000
```

## Properties
Calculated total energy = -4.66 eV per atom
Crystal system = cubic
Density of states at the Fermi level = 34.182 states/eV/cell
Energy relative to the elements = 0.66 eV/atom

---

No. 3
Entry from Alexandria via LeMat-Bulk: a geometry-optimized UMn2V structure (PBE).

The structure in POSCAR format:
```
UMn2V
1.0
2.853 0.000 0.000
0.000 2.853 0.000
0.000 0.000 6.963
Mn U V
2 1 1
Direct
0.000 0.000 0.795
0.000 0.000 0.205
0.500 0.500 0.500
0.500 0.500 0.000
```

## Properties
Calculated total energy = -9.71 eV per atom
Crystal system = tetragonal
Density of states at the Fermi level = 4.655 states/eV/cell
Energy relative to the elements = -0.03 eV/atom

---

No. 4
Entry from Alexandria via LeMat-Bulk: a geometry-optimized NaLi2PuCl6 structure (PBE).

The structure in POSCAR format:
```
NaLi2PuCl6
1.0
-5.613 3.523 1.257
-5.485 -0.915 -3.819
-5.634 -3.585 2.992
Na Li Pu Cl
1 2 1 6
Direct
0.812 0.812 0.564
0.518 0.518 0.447
0.015 0.015 0.956
0.319 0.319 0.043
0.612 0.241 0.250
0.241 0.897 0.249
0.897 0.612 0.250
0.378 0.738 0.752
0.738 0.132 0.752
0.132 0.379 0.752
```

## Properties
Calculated total energy = -4.88 eV per atom
Crystal system = trigonal
Density of states at the Fermi level = 10.457 states/eV/cell

---

No. 5
Entry from Alexandria via LeMat-Bulk: a geometry-optimized K4Rb2I3Cl2 structure (PBE).

The structure in POSCAR format:
```
K4Rb2I3Cl2
1.0
-0.921 4.707 -3.681
-4.794 -2.805 -2.387
-5.612 5.119 12.913
K Rb I Cl
4 2 3 2
Direct
0.417 0.917 0.834
0.917 0.417 0.834
0.083 0.583 0.166
0.583 0.083 0.166
0.291 0.291 0.583
0.709 0.709 0.417
0.000 0.000 0.000
0.158 0.158 0.315
0.842 0.842 0.685
0.408 0.408 0.815
0.592 0.592 0.185
```

## Properties
Calculated total energy = -2.77 eV per atom
Crystal system = tetragonal
Density of states at the Fermi level = 2.219 states/eV/cell

---

No. 6
Entry from Alexandria via LeMat-Bulk: a geometry-optimized Na2ErBr5 structure (PBE).

The structure in POSCAR format:
```
Na2ErBr5
1.0
-2.186 2.794 -7.478
-8.293 0.371 2.563
1.768 12.029 3.978
Na Er Br
8 4 20
Direct
0.472 0.493 0.824
0.528 0.507 0.176
0.972 0.507 0.676
0.528 0.993 0.176
0.028 0.493 0.324
0.472 0.007 0.824
0.028 0.007 0.324
0.972 0.993 0.676
0.419 0.250 0.508
0.581 0.750 0.492
0.919 0.750 0.992
0.081 0.250 0.008
0.064 0.250 0.515
0.936 0.750 0.485
0.564 0.750 0.985
0.436 0.250 0.015
0.338 0.954 0.583
0.662 0.046 0.417
0.838 0.046 0.917
0.662 0.454 0.417
0.162 0.954 0.083
0.338 0.546 0.583
0.162 0.546 0.083
0.838 0.454 0.917
0.181 0.250 0.797
0.819 0.750 0.203
0.681 0.750 0.703
0.319 0.250 0.297
0.631 0.250 0.682
0.369 0.750 0.318
0.131 0.750 0.818
0.869 0.250 0.182
```

## Properties
Calculated total energy = -3.62 eV per atom
Crystal system = orthorhombic
Density of states at the Fermi level = 0.000 states/eV/cell

---

How do the records compare in magnetic moment? In the order shown, they have 0.00, 0.00, 0.81, 5.00, 0.00, 0.00 μB/cell.